[1]
A plane-wave DFT calculation with PBE was carried out for an optimized crystal structure of SrTc2W.

Cell lengths 3.141, 4.542, 5.038 Å; angles 90.00, 90.00, 90.00 degrees
Positions (direct):
1 Sr 0.000 0.000 0.000
2 Tc 0.000 0.500 0.500
3 Tc 0.500 0.500 0.000
4 W 0.500 0.000 0.500

Calculated values
The polymorph energy (0 for the lowest one) is 0.703 eV/atom. As for the space group: Pmmm (47). The formation energy comes out at 1182 meV/atom.

---

[2]
A plane-wave DFT calculation with PBE was carried out for an optimized crystal structure of SrTc2W2.

Cell lengths 6.345, 6.345, 6.345 Å; angles 140.10, 140.10, 57.70 degrees
Positions (direct):
1 Sr 0.000 0.000 0.000
2 Tc 0.373 0.373 0.000
3 Tc 0.627 0.627 0.000
4 W 0.250 0.750 0.500
5 W 0.750 0.250 0.500

Calculated values
The polymorph energy (0 for the lowest one) is 0.000 eV/atom. As for the space group: I4/mmm (139). The formation energy comes out at 344 meV/atom.

---

[3]
A plane-wave DFT calculation with PBE was carried out for an optimized crystal structure of Sr2TcW.

Cell lengths 5.633, 5.633, 5.712 Å; angles 93.13, 93.13, 29.61 degrees
Positions (direct):
1 Sr 0.247 0.247 0.253
2 Sr 0.753 0.753 0.747
3 Tc 0.000 0.000 0.500
4 W 0.500 0.500 0.000

Calculated values
The polymorph energy (0 for the lowest one) is 0.962 eV/atom. As for the space group: C2/m (12). The formation energy comes out at 1428 meV/atom.

---

[4]
A plane-wave DFT calculation with PBE was carried out for an optimized crystal structure of SrTc2W.

Cell lengths 3.201, 3.201, 7.630 Å; angles 90.00, 90.00, 90.00 degrees
Positions (direct):
1 Sr 0.000 0.000 0.000
2 Tc 0.500 0.500 0.315
3 Tc 0.500 0.500 0.685
4 W 0.000 0.000 0.500

Calculated values
The polymorph energy (0 for the lowest one) is 0.000 eV/atom. As for the space group: P4/mmm (123). The formation energy comes out at 479 meV/atom.